SmGdThMg | PBE | optimized geometry

Cell lengths 5.5811, 5.5811, 5.5811 Å; angles 60.00, 60.00, 60.00 degrees
With the nearest neighbours (Å) after each atom.
Sites, in units of the cell vectors:
Sm 0.0000 0.0000 0.0000  4 Th 3.42, 4 Mg 3.42
Gd 0.5000 0.5000 0.5000  4 Th 3.42, 4 Mg 3.42
Th 0.7500 0.7500 0.7500  4 Gd 3.42, 4 Sm 3.42
Mg 0.2500 0.2500 0.2500  4 Gd 3.42, 4 Sm 3.42

Output
The space group is No. 216. Its calculated formation energy is 0.15 eV per atom. The total moment is 8.24 μB/f.u.